An optimized crystal structure of ScVO3, computed with PBE+U.

Output
Its total energy is -7.358 eV/atom. The symmetry is Pm-3m, No. 221. The crystal system is cubic. For the total moment, the calculation gives 1.998 μB per formula unit.

abc: 4.008 4.008 4.008
angles: 90.00 90.00 90.00
Site moments in Bohr magnetons follow the coordinates.
Element x y z (fractional)
1 Sc 0.000 0.000 0.000  0.02
2 O 0.000 0.500 0.000  -0.20
3 O 0.000 0.000 0.500  -0.20
4 O 0.500 0.000 0.000  -0.20
5 V 0.500 0.500 0.500  2.46